# 1
# La5Pr2YHo

A relaxed La5Pr2YHo crystal (PBE, Alexandria via LeMat-Bulk).

Geometry as extended XYZ:
```
18
Lattice="-4.349 4.349 8.647 4.349 -4.349 8.647 4.349 4.349 -8.647" Properties=species:S:1:pos:R:3 pbc="T T T"
La 0.000 0.000 0.000
La 6.271 1.922 -2.490
La 1.922 2.427 -2.490
La 6.271 1.922 2.490
La 1.922 2.427 2.490
La 0.000 0.000 8.647
La 2.427 1.922 6.157
La -1.922 2.427 6.157
La 2.427 1.922 11.136
La -1.922 2.427 11.136
Pr 3.273 1.076 0.000
Pr 3.273 -1.076 8.647
Pr 1.076 5.425 0.000
Pr 1.076 3.273 8.647
Y 4.349 0.000 4.323
Y 0.000 4.349 4.323
Ho 0.000 0.000 4.323
Ho 0.000 0.000 12.970
```

Values from the calculation:
Calculated total energy ... -4.768 eV/atom
Space group ... I4/mcm (140)

# 2
# LaPrY2Ho2

A relaxed LaPrY2Ho2 crystal (PBE, Alexandria via LeMat-Bulk).

Geometry as extended XYZ:
```
12
Lattice="6.684 0.000 0.000 0.000 17.947 0.000 0.000 0.000 3.410" Properties=species:S:1:pos:R:3 pbc="T T T"
La 0.000 0.000 0.000
La 3.342 8.973 1.705
Pr 0.000 8.973 0.000
Pr 3.342 0.000 1.705
Y 1.499 6.231 1.705
Y 1.843 15.204 0.000
Y 4.842 2.743 0.000
Y 5.185 11.716 1.705
Ho 1.514 3.265 0.000
Ho 1.828 12.239 1.705
Ho 4.857 5.708 1.705
Ho 5.170 14.682 0.000
```

Values from the calculation:
Calculated total energy ... -5.012 eV/atom
Space group ... Pnnm (58)

# 3
# LaPr6Y2Ho3

A relaxed LaPr6Y2Ho3 crystal (PBE, Alexandria via LeMat-Bulk).

Geometry as extended XYZ:
```
12
Lattice="3.167 -5.487 0.000 3.167 5.487 0.000 -2.110 0.000 11.808" Properties=species:S:1:pos:R:3 pbc="T T T"
La 0.000 0.000 0.000
Pr 1.058 1.830 2.994
Pr 0.001 0.000 8.814
Pr 1.058 -1.830 2.994
Pr 3.167 1.830 8.814
Pr 4.224 0.000 2.994
Pr 3.167 -1.830 8.814
Y 3.167 1.828 0.000
Y 3.167 -1.828 0.000
Ho 2.112 3.654 5.904
Ho 2.112 0.000 5.904
Ho 2.112 -3.654 5.904
```

Values from the calculation:
Calculated total energy ... -5.007 eV/atom
Space group ... C2/m (12)

# 4
# LaPrYHo

A relaxed LaPrYHo crystal (PBE, Alexandria via LeMat-Bulk).

Geometry as extended XYZ:
```
4
Lattice="6.274 -2.981 0.000 6.274 2.981 0.000 -1.127 0.000 3.673" Properties=species:S:1:pos:R:3 pbc="T T T"
La 0.000 0.000 0.000
Pr 9.023 0.000 0.616
Y 5.575 0.000 1.687
Ho 2.328 0.000 2.574
```

Values from the calculation:
Calculated total energy ... -5.087 eV/atom
Space group ... Cm (8)

# 5
# LaPr2Y2Ho

A relaxed LaPr2Y2Ho crystal (PBE, Alexandria via LeMat-Bulk).

Geometry as extended XYZ:
```
12
Lattice="5.721 0.000 0.000 0.000 10.310 0.000 0.000 0.000 6.972" Properties=species:S:1:pos:R:3 pbc="T T T"
La 0.000 1.985 0.000
La 0.000 8.325 3.486
Pr 0.000 4.914 2.479
Pr 0.000 5.396 5.965
Pr 2.861 3.088 4.276
Pr 2.861 7.222 0.790
Y 0.000 1.315 3.544
Y 0.000 8.995 0.058
Y 2.861 3.802 0.751
Y 2.861 6.508 4.237
Ho 2.861 0.241 1.821
Ho 2.861 10.069 5.307
```

Values from the calculation:
Calculated total energy ... -5.258 eV/atom
Space group ... Pmc2_1 (26)

# 6
# La2Pr6YHo3

A relaxed La2Pr6YHo3 crystal (PBE, Alexandria via LeMat-Bulk).

Geometry as extended XYZ:
```
12
Lattice="3.178 -5.507 0.000 3.178 5.507 0.000 -2.121 0.000 11.882" Properties=species:S:1:pos:R:3 pbc="T T T"
La 3.178 3.670 0.000
La 3.178 -3.670 0.000
Pr 0.000 1.832 8.850
Pr 1.061 0.000 3.036
Pr 0.000 -1.832 8.850
Pr 4.234 1.832 3.033
Pr 3.174 0.000 8.846
Pr 4.234 -1.832 3.033
Y 3.178 0.000 0.000
Ho -1.061 0.000 5.941
Ho 2.117 1.832 5.941
Ho 2.117 -1.832 5.941
```

Values from the calculation:
Calculated total energy ... -4.877 eV/atom
Space group ... C2/m (12)

# 7
# La3Pr6YHo2

A relaxed La3Pr6YHo2 crystal (PBE, Alexandria via LeMat-Bulk).

Geometry as extended XYZ:
```
12
Lattice="3.192 -5.535 0.000 3.192 5.535 0.000 -2.134 0.000 11.958" Properties=species:S:1:pos:R:3 pbc="T T T"
La 0.000 0.000 0.000
La 3.192 1.847 0.000
La 3.192 -1.847 0.000
Pr 1.057 1.851 3.063
Pr -0.009 0.000 8.895
Pr 1.057 -1.851 3.063
Pr 3.193 1.851 8.895
Pr 4.258 0.000 3.063
Pr 3.193 -1.851 8.895
Y 2.125 0.000 5.979
Ho 2.125 3.690 5.979
Ho 2.125 -3.690 5.979
```

Values from the calculation:
Calculated total energy ... -4.906 eV/atom
Space group ... C2/m (12)

# 8
# LaPr5YHo2

A relaxed LaPr5YHo2 crystal (PBE, Alexandria via LeMat-Bulk).

Geometry as extended XYZ:
```
18
Lattice="2.882 -10.229 0.000 2.882 10.229 0.000 0.000 0.000 10.781" Properties=species:S:1:pos:R:3 pbc="T T T"
La 2.882 8.488 5.390
La 2.882 -8.488 0.000
Pr 2.882 9.832 8.505
Pr 2.882 7.876 0.758
Pr 2.882 6.066 8.135
Pr 2.882 5.736 3.898
Pr 2.882 0.346 0.751
Pr 2.882 -0.346 6.141
Pr 2.882 -5.736 9.288
Pr 2.882 -6.066 2.745
Pr 2.882 -7.876 6.148
Pr 2.882 -9.832 3.115
Y 2.882 4.074 0.633
Y 2.882 -4.074 6.023
Ho 2.882 2.367 3.942
Ho 2.882 2.328 8.424
Ho 2.882 -2.328 3.034
Ho 2.882 -2.367 9.332
```

Values from the calculation:
Calculated total energy ... -4.794 eV/atom
Space group ... Cmc2_1 (36)

# 9
# LaPr2Y6Ho3

A relaxed LaPr2Y6Ho3 crystal (PBE, Alexandria via LeMat-Bulk).

Geometry as extended XYZ:
```
12
Lattice="3.122 -5.406 0.000 3.122 5.406 0.000 -2.077 0.000 11.704" Properties=species:S:1:pos:R:3 pbc="T T T"
La 0.000 0.000 0.000
Pr 3.122 1.801 0.000
Pr 3.122 -1.801 0.000
Y 1.046 1.804 2.986
Y 0.004 0.000 8.716
Y 1.046 -1.804 2.986
Y 3.122 1.804 8.718
Y 4.164 0.000 2.988
Y 3.122 -1.804 8.718
Ho 2.084 3.603 5.852
Ho 2.084 0.000 5.852
Ho 2.084 -3.603 5.852
```

Values from the calculation:
Calculated total energy ... -5.563 eV/atom
Space group ... C2/m (12)

# 10
# La6PrY2Ho

A relaxed La6PrY2Ho crystal (PBE, Alexandria via LeMat-Bulk).

Geometry as extended XYZ:
```
10
Lattice="5.739 -3.555 0.000 5.739 3.555 0.000 -2.181 0.000 8.822" Properties=species:S:1:pos:R:3 pbc="T T T"
La 3.223 1.578 1.698
La 0.629 0.000 3.798
La 6.074 1.578 7.125
La 3.223 -1.578 1.698
La 8.668 0.000 5.024
La 6.074 -1.578 7.125
Pr 4.649 0.000 4.411
Y 2.911 0.000 7.383
Y 6.386 0.000 1.439
Ho 0.000 0.000 0.000
```

Values from the calculation:
Calculated total energy ... -4.993 eV/atom
Space group ... C2/m (12)

# 11
# La3Pr6Y2Ho

A relaxed La3Pr6Y2Ho crystal (PBE, Alexandria via LeMat-Bulk).

Geometry as extended XYZ:
```
12
Lattice="3.195 -5.539 0.000 3.195 5.539 0.000 -2.135 0.000 11.971" Properties=species:S:1:pos:R:3 pbc="T T T"
La 0.000 0.000 0.000
La 3.195 1.845 0.000
La 3.195 -1.845 0.000
Pr 1.066 1.841 3.061
Pr 0.003 0.000 8.910
Pr 1.066 -1.841 3.061
Pr 3.189 1.841 8.910
Pr 4.252 0.000 3.060
Pr 3.189 -1.841 8.910
Y 2.128 3.693 5.985
Y 2.128 -3.693 5.985
Ho 2.128 0.000 5.985
```

Values from the calculation:
Calculated total energy ... -5.065 eV/atom
Space group ... C2/m (12)

# 12
# La3Pr2Y6Ho

A relaxed La3Pr2Y6Ho crystal (PBE, Alexandria via LeMat-Bulk).

Geometry as extended XYZ:
```
12
Lattice="3.154 -5.463 0.000 3.154 5.463 0.000 -2.099 0.000 11.756" Properties=species:S:1:pos:R:3 pbc="T T T"
La 0.000 0.000 0.000
La 3.154 1.826 0.000
La 3.154 -1.826 0.000
Pr 2.104 3.645 5.878
Pr 2.104 -3.645 5.878
Y 1.056 1.817 2.968
Y 0.006 0.000 8.793
Y 1.056 -1.817 2.968
Y 3.152 1.817 8.788
Y 4.202 0.000 2.964
Y 3.152 -1.817 8.788
Ho 2.104 0.000 5.878
```

Values from the calculation:
Calculated total energy ... -5.631 eV/atom
Space group ... C2/m (12)

For the records above, the corresponding calculated volume values read 36.3, 34.1, 34.2, 34.3, 34.3, 34.7, 35.2, 35.3, 32.9, 36.0, 35.3, 33.8 Å³ per atom.